# SrPAu2N

A PBEsol-optimized structure of SrPAu2N (meta-GGA SCAN, Alexandria).

extended XYZ file:
```
5
Lattice="5.852 0.000 0.000 0.000 5.852 0.000 0.000 0.000 5.902" Properties=species:S:1:pos:R:3 pbc="T T T"
Sr 0.000 0.000 0.000
P 0.000 0.000 2.951
Au 0.000 2.926 0.000
Au 2.926 0.000 0.000
N 2.926 2.926 2.951
```

The value obtained for the energy relative to the elements, uncorrected is 1696 meV/atom. As for the magnetization: 5.535 μB/cell. Its uncorrected energy is -171.80 eV per formula unit.

# PbAuSN2

A PBEsol-optimized structure of PbAuSN2 (meta-GGA SCAN, Alexandria).

extended XYZ file:
```
5
Lattice="4.112 0.000 0.000 0.000 4.112 0.000 0.000 0.000 5.054" Properties=species:S:1:pos:R:3 pbc="T T T"
Pb 0.000 0.000 0.000
Au 2.056 2.056 2.527
S 2.056 2.056 0.000
N 0.000 2.056 2.527
N 2.056 0.000 2.527
```

The value obtained for the energy relative to the elements, uncorrected is 1280 meV/atom. As for the magnetization: 2.844 μB/cell. Its uncorrected energy is -166.75 eV per formula unit.

# PbAuSe2N

A PBEsol-optimized structure of PbAuSe2N (meta-GGA SCAN, Alexandria).

extended XYZ file:
```
5
Lattice="5.311 0.000 0.000 0.000 5.311 0.000 0.000 0.000 3.785" Properties=species:S:1:pos:R:3 pbc="T T T"
Pb 0.000 0.000 0.000
Au 2.655 2.655 1.892
Se 0.000 2.655 1.892
Se 2.655 0.000 1.892
N 2.655 2.655 0.000
```

The value obtained for the energy relative to the elements, uncorrected is 567 meV/atom. As for the magnetization: 1.659 μB/cell. Its uncorrected energy is -191.55 eV per formula unit.

# Pd3AuN

A PBEsol-optimized structure of Pd3AuN (meta-GGA SCAN, Alexandria).

extended XYZ file:
```
5
Lattice="4.920 0.000 0.000 0.000 4.920 0.000 0.000 0.000 4.920" Properties=species:S:1:pos:R:3 pbc="T T T"
Pd 0.000 0.000 2.460
Pd 0.000 2.460 0.000
Pd 2.460 0.000 0.000
Au 0.000 0.000 0.000
N 2.460 2.460 2.460
```

The value obtained for the energy relative to the elements, uncorrected is 1995 meV/atom. As for the magnetization: 3.038 μB/cell. Its uncorrected energy is -166.79 eV per formula unit.

# PdRhAuN2

A PBEsol-optimized structure of PdRhAuN2 (meta-GGA SCAN, Alexandria).

extended XYZ file:
```
5
Lattice="3.710 0.000 0.000 0.000 3.710 0.000 0.000 0.000 5.264" Properties=species:S:1:pos:R:3 pbc="T T T"
Pd 0.000 0.000 0.000
Rh 0.000 0.000 2.632
Au 1.855 1.855 0.000
N 0.000 1.855 2.632
N 1.855 0.000 2.632
```

The value obtained for the energy relative to the elements, uncorrected is 1111 meV/atom. As for the magnetization: 0.000 μB/cell. Its uncorrected energy is -148.73 eV per formula unit.

# PdAuS2N

A PBEsol-optimized structure of PdAuS2N (meta-GGA SCAN, Alexandria).

extended XYZ file:
```
5
Lattice="4.831 0.000 0.000 0.000 4.831 0.000 0.000 0.000 3.579" Properties=species:S:1:pos:R:3 pbc="T T T"
Pd 0.000 0.000 0.000
Au 2.415 2.415 1.790
S 0.000 2.415 0.000
S 2.415 0.000 0.000
N 0.000 0.000 1.790
```

The value obtained for the energy relative to the elements, uncorrected is 1052 meV/atom. As for the magnetization: 0.001 μB/cell. Its uncorrected energy is -125.22 eV per formula unit.

# PdAuSeN2

A PBEsol-optimized structure of PdAuSeN2 (meta-GGA SCAN, Alexandria).

extended XYZ file:
```
5
Lattice="3.748 0.000 0.000 0.000 3.748 0.000 0.000 0.000 5.686" Properties=species:S:1:pos:R:3 pbc="T T T"
Pd 0.000 0.000 0.000
Au 1.874 1.874 2.843
Se 0.000 0.000 2.843
N 0.000 1.874 0.000
N 1.874 0.000 0.000
```

The value obtained for the energy relative to the elements, uncorrected is 1448 meV/atom. As for the magnetization: 0.007 μB/cell. Its uncorrected energy is -133.35 eV per formula unit.

# PtAuS2N

A PBEsol-optimized structure of PtAuS2N (meta-GGA SCAN, Alexandria).

extended XYZ file:
```
5
Lattice="4.876 0.000 0.000 0.000 4.876 0.000 0.000 0.000 3.595" Properties=species:S:1:pos:R:3 pbc="T T T"
Pt 0.000 0.000 0.000
Au 2.438 2.438 1.797
S 0.000 2.438 0.000
S 2.438 0.000 0.000
N 0.000 0.000 1.797
```

The value obtained for the energy relative to the elements, uncorrected is 874 meV/atom. As for the magnetization: 0.000 μB/cell. Its uncorrected energy is -163.53 eV per formula unit.

# Te2PtAuN

A PBEsol-optimized structure of Te2PtAuN (meta-GGA SCAN, Alexandria).

extended XYZ file:
```
5
Lattice="5.467 0.000 0.000 0.000 5.467 0.000 0.000 0.000 3.618" Properties=species:S:1:pos:R:3 pbc="T T T"
Te 0.000 2.734 0.000
Te 2.734 0.000 0.000
Pt 0.000 0.000 1.809
Au 2.734 2.734 0.000
N 2.734 2.734 1.809
```

The value obtained for the energy relative to the elements, uncorrected is 1160 meV/atom. As for the magnetization: 0.000 μB/cell. Its uncorrected energy is -217.34 eV per formula unit.

# Rb2AuN2

A PBEsol-optimized structure of Rb2AuN2 (meta-GGA SCAN, Alexandria).

extended XYZ file:
```
10
Lattice="8.201 0.000 0.000 0.000 8.201 0.000 0.000 0.000 3.633" Properties=species:S:1:pos:R:3 pbc="T T T"
Rb 1.893 2.207 0.000
Rb 2.207 6.308 0.000
Rb 5.994 1.893 0.000
Rb 6.308 5.994 0.000
Au 0.000 0.000 1.817
Au 4.101 4.101 1.817
N 0.415 4.516 1.817
N 3.685 0.415 1.817
N 4.516 7.786 1.817
N 7.786 3.685 1.817
```

The value obtained for the energy relative to the elements, uncorrected is -254 meV/atom. As for the magnetization: 2.000 μB/cell. Its uncorrected energy is -130.49 eV per formula unit.

# RbAu2N

A PBEsol-optimized structure of RbAu2N (meta-GGA SCAN, Alexandria).

extended XYZ file:
```
8
Lattice="0.000 4.643 4.643 4.643 0.000 4.643 4.643 4.643 0.000" Properties=species:S:1:pos:R:3 pbc="T T T"
Rb 1.161 1.161 1.161
Rb 8.126 8.126 8.126
Au 4.643 2.322 2.322
Au 2.322 4.643 2.322
Au 2.322 2.322 4.643
Au 4.643 4.643 4.643
N 3.483 3.483 3.483
N 5.804 5.804 5.804
```

The value obtained for the energy relative to the elements, uncorrected is -84 meV/atom. As for the magnetization: 0.000 μB/cell. Its uncorrected energy is -168.68 eV per formula unit.

# ReAuS2N

A PBEsol-optimized structure of ReAuS2N (meta-GGA SCAN, Alexandria).

extended XYZ file:
```
5
Lattice="4.712 0.000 0.000 0.000 4.712 0.000 0.000 0.000 3.704" Properties=species:S:1:pos:R:3 pbc="T T T"
Re 0.000 0.000 0.000
Au 2.356 2.356 1.852
S 0.000 2.356 0.000
S 2.356 0.000 0.000
N 0.000 0.000 1.852
```

The value obtained for the energy relative to the elements, uncorrected is 520 meV/atom. As for the magnetization: 0.000 μB/cell. Its uncorrected energy is -166.20 eV per formula unit.

> What is the uncorrected energy in the tenth record?

-130.49 eV per formula unit

Repeat the eleventh record exactly.
# RbAu2N

A PBEsol-optimized structure of RbAu2N (meta-GGA SCAN, Alexandria).

extended XYZ file:
```
8
Lattice="0.000 4.643 4.643 4.643 0.000 4.643 4.643 4.643 0.000" Properties=species:S:1:pos:R:3 pbc="T T T"
Rb 1.161 1.161 1.161
Rb 8.126 8.126 8.126
Au 4.643 2.322 2.322
Au 2.322 4.643 2.322
Au 2.322 2.322 4.643
Au 4.643 4.643 4.643
N 3.483 3.483 3.483
N 5.804 5.804 5.804
```

The value obtained for the energy relative to the elements, uncorrected is -84 meV/atom. As for the magnetization: 0.000 μB/cell. Its uncorrected energy is -168.68 eV per formula unit.